VASP calculation (PBE-GGA) on crystalline RePbCl2 at its relaxed geometry.

## Properties
- excess energy over the best structure of this formula in the dataset (meV/atom) = 840
- formation energy (no corrections) (meV per atom) = 936.5
- electronic total energy (eV/f.u.) = -16.1
- N(E_F) (states/eV/cell) = 3.32
- space-group type = Fm-3m

Cell lengths 5.078, 5.078, 5.078 Å; angles 60.00, 60.00, 60.00 degrees
Fractional positions:
Re1 0.000 0.000 0.000
Pb1 0.500 0.500 0.500
Cl1 0.250 0.250 0.250
Cl2 0.750 0.750 0.750